Here is ScZnGaO4 after structural relaxation from Alexandria. Energies are from GGA-PBE.

The value obtained for the theoretical density is 5.016 g/cm³. The formation energy (no corrections) comes out at -16.2 eV/f.u. As for the magnetic moment: 0.000 μB per formula unit.

It has space group Imma (No. 74), with a = 6.051 Å, b = 6.189 Å, c = 8.630 Å, α = 90.00°, β = 90.00° and γ = 90.00°. The asymmetric unit holds Sc at (0.000, 0.000, 0.000), Zn at (0.000, 0.250, 0.378), Ga at (0.250, 0.250, 0.750), O at (0.000, 0.027, 0.754) and O at (0.234, 0.250, 0.986).



Here is K2CdH5 after structural relaxation from Alexandria. Energies are from GGA-PBE.

The value obtained for the theoretical density is 2.111 g/cm³. As for the magnetic moment: 0.946 μB per formula unit. The calculation puts the calculated total energy at -18.63 eV/f.u.

It has space group Cmcm (No. 63), with a = 4.429 Å, b = 12.467 Å, c = 11.150 Å, α = 90.00°, β = 90.00° and γ = 90.00°. The asymmetric unit holds K at (0.000, 0.144, 0.082), Cd at (0.000, 0.164, 0.750), H at (0.000, 0.058, 0.634), H at (0.000, 0.267, 0.626) and H at (0.000, 0.314, 0.250).



Here is K4CrS4 after structural relaxation from Alexandria. Energies are from GGA-PBE.

Its energy above the lowest structure with this stoichiometry is 0.084 eV/atom. The value obtained for the theoretical density is 1.628 g/cm³. The formation energy (no corrections) comes out at -8.6 eV/f.u. As for the magnetic moment: 2.000 μB per formula unit.

It has space group I-42m (No. 121), with a = 7.393 Å, b = 7.393 Å, c = 12.564 Å, α = 90.00°, β = 90.00° and γ = 90.00°. The asymmetric unit holds K at (0.000, 0.000, 0.201), K at (0.000, 0.500, 0.000), Cr at (0.000, 0.000, 0.500) and S at (0.173, 0.173, 0.603).